Material: Cs4Tm3USe8
Method: DFT, PBE
State: relaxed

Values from the calculation:
The magnetic moment is 8.93 μB per cell. As for the total energy: -5.07 eV per atom. As for the uncorrected formation energy: -1566 meV per atom. For the density, the calculation gives 6068 kg/m³.

Lattice parameters (Å, degrees): 8.4855 8.4855 25.1227 90.00 90.00 120.00
Space group R-3m (No. 166, hexagonal axes)
One atom of each set of equivalent atoms:
Cs  0.0000  0.0000  0.0000
Cs  0.0000  0.5000  0.0000
Tm  0.0000  0.5000  0.5000
U  0.0000  0.0000  0.5000
Se  0.0000  0.0000  0.2276
Se  0.0052  0.5026  0.7718

---

Material: SmHo2Er6Tm3
Method: DFT, PBE
State: relaxed

Values from the calculation:
The magnetic moment is 0.00 μB per cell. As for the total energy: -4.53 eV per atom. Its energy of formation from the pure elements is 0.27 eV per formula unit. For the density, the calculation gives 8995 kg/m³.

Lattice parameters (Å, degrees): 6.087 10.531 11.643 90.00 100.02 90.00
Space group C2/m (No. 12)
One atom of each set of equivalent atoms:
Sm  0.000  0.000  0.000
Ho  0.000  0.333  0.000
Er  0.249  0.000  0.748
Er  0.249  0.333  0.748
Tm  0.000  0.167  0.500
Tm  0.000  0.500  0.500

---

Material: Tm2HgPb5
Method: DFT, PBE
State: relaxed

Values from the calculation:
The magnetic moment is 0.00 μB per cell. As for the total energy: -3.66 eV per atom. Its energy of formation from the pure elements is -1.51 eV per formula unit. For the density, the calculation gives 11487 kg/m³.

Lattice parameters (Å, degrees): 7.125 17.851 3.579 90.00 90.00 90.00
Space group Pbam (No. 55)
One atom of each set of equivalent atoms:
Tm  0.250  0.120  0.000
Hg  0.000  0.000  0.500
Pb  0.000  0.500  0.500
Pb  0.005  0.253  0.500
Pb  0.233  0.879  0.000

---

Material: PaTl2H2S4
Method: DFT, PBE
State: relaxed

Values from the calculation:
The magnetic moment is 2.02 μB per cell. As for the total energy: -4.83 eV per atom. For the density, the calculation gives 5798 kg/m³.

Lattice parameters (Å, degrees): 14.684 4.009 7.965 90.00 109.80 90.00
Space group C2/m (No. 12)
One atom of each set of equivalent atoms:
Pa  0.000  0.000  0.000
Tl  0.133  0.000  0.596
H  0.235  0.000  0.067
S  0.026  0.500  0.793
S  0.200  0.000  0.204